## SrCrNi (PBE)

Data for an optimized crystal structure of SrCrNi.

As for the energy above the lowest structure with this stoichiometry: 132 meV per atom. As for the crystal system: orthorhombic. For the total energy, the calculation gives -0.3853 Ry per atom. The calculation puts the density at 5.23 Mg/m³. The value obtained for the density of states at the Fermi level is 11.35 states/eV per cell. The formation energy from the elements comes out at 453.0 meV/atom.

The structure belongs to space group Pnma (No. 62); the cell edges are 7.7098, 3.3775 and 9.6775 Å and the angles 90.00°, 90.00° and 90.00°. Symmetry generates all atoms from Sr at (0.0646, 0.2500, 0.1791), Cr at (0.0878, 0.2500, 0.5293) and Ni at (0.2289, 0.7500, 0.4000).


## Tb2PrSm3Er6 (PBE)

Data for an optimized crystal structure of Tb2PrSm3Er6.

As for the crystal system: monoclinic. For the total energy, the calculation gives -0.3392 Ry per atom. The calculation puts the density at 8.32 Mg/m³. The value obtained for the density of states at the Fermi level is 28.67 states/eV per cell. The formation energy from the elements comes out at 16.8 meV/atom.

The structure belongs to space group C2/m (No. 12); the cell edges are 6.1786, 10.6962 and 11.7417 Å and the angles 90.00°, 100.06° and 90.00°. Symmetry generates all atoms from Tb at (0.0000, 0.1667, 0.0000), Pr at (0.0000, 0.5000, 0.0000), Sm at (0.0000, 0.0000, 0.5000), Sm at (0.0000, 0.3332, 0.5000), Er at (0.2492, 0.1670, 0.7502) and Er at (0.2498, 0.0000, 0.2497).


## KSbS3 (PBE)

Data for an optimized crystal structure of KSbS3.

As for the energy above the lowest structure with this stoichiometry: 0 meV per atom. The formation energy without anion corrections is -528 meV per atom. As for the crystal system: monoclinic. For the total energy, the calculation gives -0.2976 Ry per atom. The calculation puts the density at 2.76 Mg/m³. The value obtained for the density of states at the Fermi level is 0.00 states/eV per cell.

The structure belongs to space group P2_1 (No. 4); the cell edges are 4.9994, 7.3549 and 8.4018 Å and the angles 90.00°, 90.94° and 90.00°. Symmetry generates all atoms from K at (0.1947, 0.0000, 0.2335), Sb at (0.2190, 0.9770, 0.7725), S at (0.1172, 0.6149, 0.4274), S at (0.3453, 0.2402, 0.9114) and S at (0.4092, 0.4174, 0.4304).


## OsPt4Rh5 (PBE)

Data for an optimized crystal structure of OsPt4Rh5.

As for the crystal system: tetragonal. For the total energy, the calculation gives -0.5326 Ry per atom. The calculation puts the density at 16.72 Mg/m³. The value obtained for the density of states at the Fermi level is 13.89 states/eV per cell. The formation energy from the elements comes out at -31.0 meV/atom.

The structure belongs to space group P4/mmm (No. 123); the cell edges are 2.7446, 2.7446 and 19.5787 Å and the angles 90.00°, 90.00° and 90.00°. Symmetry generates all atoms from Os at (0.0000, 0.0000, 0.0000), Pt at (0.0000, 0.0000, 0.1993), Pt at (0.0000, 0.0000, 0.3999), Rh at (0.5000, 0.5000, 0.0947), Rh at (0.5000, 0.5000, 0.3003) and Rh at (0.5000, 0.5000, 0.5000).


## Ho2GaSiRh6 (PBE)

Data for an optimized crystal structure of Ho2GaSiRh6.

The formation energy without anion corrections is -470 meV per atom. As for the crystal system: cubic. For the total energy, the calculation gives -0.4881 Ry per atom. The calculation puts the density at 9.49 Mg/m³. The value obtained for the density of states at the Fermi level is 36.80 states/eV per cell.

The structure belongs to space group Fm-3m (No. 225); the cell edges are 9.0091, 9.0091 and 9.0091 Å and the angles 90.00°, 90.00° and 90.00°. Symmetry generates all atoms from Ho at (0.2500, 0.2500, 0.2500), Ga at (0.0000, 0.0000, 0.0000), Si at (0.0000, 0.0000, 0.5000) and Rh at (0.0000, 0.0000, 0.2559).


## Li2Os3O8 (PBE)

Data for an optimized crystal structure of Li2Os3O8.

The formation energy without anion corrections is -1155 meV per atom. As for the crystal system: monoclinic. For the total energy, the calculation gives -0.5213 Ry per atom. The calculation puts the density at 7.83 Mg/m³. The value obtained for the density of states at the Fermi level is 13.36 states/eV per cell.

The structure belongs to space group C2/m (No. 12); the cell edges are 10.1685, 5.6652 and 5.3756 Å and the angles 90.00°, 102.66° and 90.00°. Symmetry generates all atoms from Li at (0.2146, 0.0000, 0.0879), Os at (0.0000, 0.2141, 0.5000), Os at (0.0000, 0.5000, 0.0000), O at (0.0937, 0.5000, 0.3769), O at (0.1053, 0.2619, 0.8568) and O at (0.1276, 0.0000, 0.3935).


| no. | total moment (μB/atom) |
| --- | --- |
| 1 | 0.00 |
| 2 | 0.00 |
| 3 | 0.00 |
| 4 | 0.00 |
| 5 | 0.00 |
| 6 | 0.08 |